# NaSb2AuI, relaxed, DFT PBE-GGA
# energy relative to the elements, uncorrected	0.8	eV/f.u.
# spin magnetization	0.4	μB/f.u.
# ΔE to the lowest computed polymorph	0	meV/atom
# calculated total energy	-13.57	eV per cell
data_NaSb2AuI
_cell_length_a 5.220
_cell_length_b 5.220
_cell_length_c 8.094
_cell_angle_alpha 90.00
_cell_angle_beta 90.00
_cell_angle_gamma 90.00
_space_group_name_H-M_alt 'P 4/m m m'
_space_group_IT_number 123
_space_group_name_Hall '-P 4 2'
loop_
_atom_site_label
_atom_site_type_symbol
_atom_site_fract_x
_atom_site_fract_y
_atom_site_fract_z
_atom_site_occupancy
Na1 Na 0.000 0.000 0.000 1
Sb1 Sb 0.000 0.500 0.500 1
Au1 Au 0.500 0.500 0.500 1
I1 I 0.500 0.500 0.000 1